[1]
This record from the Alexandria database describes a geometry-optimized HfZrPt2F structure. The functional is PBE.

Properties
symmetry	P4/mmm
formation energy (no corrections)	0.7570	eV per atom
polymorph energy (0 for the lowest one)	1669	meV/atom

Cell and atoms, written as CIF:
```
data_HfZrPt2F
_chemical_formula_sum 'Hf1 Zr1 Pt2 F1'
_symmetry_space_group_name_H-M 'P 1'
_symmetry_Int_Tables_number 1
_cell_length_a 4.873
_cell_length_b 4.873
_cell_length_c 5.482
_cell_angle_alpha 90.00
_cell_angle_beta 90.00
_cell_angle_gamma 90.00
loop_
_symmetry_equiv_pos_as_xyz
'x,y,z'
loop_
_atom_site_label
_atom_site_fract_x
_atom_site_fract_y
_atom_site_fract_z
_atom_site_occupancy
Hf1 0.000 0.000 0.000 1
Zr1 0.000 0.000 0.500 1
Pt1 0.000 0.500 0.500 1
Pt2 0.500 0.000 0.500 1
F1 0.500 0.500 0.000 1
```

---

[2]
This record from the Alexandria database describes a geometry-optimized Ta2FeMo structure. The functional is PBE.

Properties
symmetry	F-43m
energy of formation	0.25	eV/f.u.
polymorph energy (0 for the lowest one)	238	meV/atom

Cell and atoms, written as CIF:
```
data_Ta2FeMo
_chemical_formula_sum 'Ta8 Fe4 Mo4'
_symmetry_space_group_name_H-M 'P 1'
_symmetry_Int_Tables_number 1
_cell_length_a 6.328
_cell_length_b 6.328
_cell_length_c 6.328
_cell_angle_alpha 90.00
_cell_angle_beta 90.00
_cell_angle_gamma 90.00
loop_
_symmetry_equiv_pos_as_xyz
'x,y,z'
loop_
_atom_site_label
_atom_site_fract_x
_atom_site_fract_y
_atom_site_fract_z
_atom_site_occupancy
Ta1 0.000 0.000 0.000 1
Ta2 0.000 0.500 0.500 1
Ta3 0.250 0.250 0.250 1
Ta4 0.250 0.750 0.750 1
Ta5 0.500 0.000 0.500 1
Ta6 0.500 0.500 0.000 1
Ta7 0.750 0.250 0.750 1
Ta8 0.750 0.750 0.250 1
Fe1 0.000 0.000 0.500 1
Fe2 0.000 0.500 0.000 1
Fe3 0.500 0.000 0.000 1
Fe4 0.500 0.500 0.500 1
Mo1 0.250 0.250 0.750 1
Mo2 0.250 0.750 0.250 1
Mo3 0.750 0.250 0.250 1
Mo4 0.750 0.750 0.750 1
```

---

[3]
This record from the Alexandria database describes a geometry-optimized TaCu2 structure. The functional is PBE.

Properties
symmetry	Cm
energy of formation	0.57	eV/f.u.

Cell and atoms, written as CIF:
```
data_TaCu2
_chemical_formula_sum 'Ta4 Cu8'
_symmetry_space_group_name_H-M 'P 1'
_symmetry_Int_Tables_number 1
_cell_length_a 10.733
_cell_length_b 2.888
_cell_length_c 5.823
_cell_angle_alpha 90.00
_cell_angle_beta 106.06
_cell_angle_gamma 90.00
loop_
_symmetry_equiv_pos_as_xyz
'x,y,z'
loop_
_atom_site_label
_atom_site_fract_x
_atom_site_fract_y
_atom_site_fract_z
_atom_site_occupancy
Ta1 0.000 0.000 0.000 1
Ta2 0.159 0.500 0.358 1
Ta3 0.500 0.500 0.000 1
Ta4 0.659 0.000 0.358 1
Cu1 0.174 0.500 0.839 1
Cu2 0.328 0.000 0.175 1
Cu3 0.329 0.000 0.680 1
Cu4 0.482 0.500 0.514 1
Cu5 0.674 0.000 0.839 1
Cu6 0.828 0.500 0.175 1
Cu7 0.829 0.500 0.680 1
Cu8 0.982 0.000 0.514 1
```

---

[4]
This record from the Alexandria database describes a geometry-optimized CsBSe2Br structure. The functional is PBE.

Properties
symmetry	P4/mmm
formation energy (no corrections)	1.5663	eV per atom
polymorph energy (0 for the lowest one)	1515	meV/atom

Cell and atoms, written as CIF:
```
data_CsBSe2Br
_chemical_formula_sum 'Cs1 B1 Se2 Br1'
_symmetry_space_group_name_H-M 'P 1'
_symmetry_Int_Tables_number 1
_cell_length_a 5.822
_cell_length_b 5.822
_cell_length_c 6.647
_cell_angle_alpha 90.00
_cell_angle_beta 90.00
_cell_angle_gamma 90.00
loop_
_symmetry_equiv_pos_as_xyz
'x,y,z'
loop_
_atom_site_label
_atom_site_fract_x
_atom_site_fract_y
_atom_site_fract_z
_atom_site_occupancy
Cs1 0.000 0.000 0.000 1
B1 0.500 0.500 0.500 1
Se1 0.000 0.500 0.000 1
Se2 0.500 0.000 0.000 1
Br1 0.000 0.000 0.500 1
```

---

Number 1: E_tot -28.67 eV/cell. Number 2: E_tot -171.01 eV/cell. Number 3: E_tot -77.90 eV/cell. Number 4: E_tot -8.34 eV/cell.